Entry one
AgPdN2: relaxed, PBE-GGA.

abc: 3.990 3.990 3.990
angles: 60.00 60.00 60.00
Fractional coordinates of all 4 atoms:
Ag (0.000, 0.000, 0.000)
Pd (0.500, 0.500, 0.500)
N (0.250, 0.250, 0.250)
N (0.750, 0.750, 0.750)

## Properties
- SG = Fm-3m (225)
- theoretical density (g/cm3) = 9.0

***

Entry two
AgPdN2: relaxed, PBE-GGA.

abc: 6.518 6.518 6.518
angles: 27.55 27.55 27.55
Fractional coordinates of all 4 atoms:
Ag (0.000, 0.000, 0.000)
Pd (0.500, 0.500, 0.500)
N (0.110, 0.110, 0.110)
N (0.890, 0.890, 0.890)

## Properties
- SG = R-3m (166)
- theoretical density (g/cm3) = 7.7

***

Entry three
AgPdN2: relaxed, PBE-GGA.

abc: 5.941 5.941 5.941
angles: 131.53 131.53 70.97
Fractional coordinates of all 8 atoms:
Ag (0.000, 0.000, 0.000)
Ag (0.750, 0.250, 0.500)
Pd (0.250, 0.750, 0.500)
Pd (0.500, 0.500, 0.000)
N (0.167, 0.625, 0.042)
N (0.375, 0.417, 0.542)
N (0.583, 0.125, 0.958)
N (0.875, 0.833, 0.458)

## Properties
- SG = I-42d (122)
- theoretical density (g/cm3) = 7.0

***

entry two takes first place; second place is 248 meV/atom up.

***

Entry one
AgPdSeN2: relaxed, PBE-GGA.

abc: 3.986 3.986 5.800
angles: 90.00 90.00 90.00
Fractional coordinates of all 5 atoms:
Ag (0.000, 0.000, 0.000)
Pd (0.500, 0.500, 0.500)
Se (0.000, 0.000, 0.500)
N (0.000, 0.500, 0.000)
N (0.500, 0.000, 0.000)

## Properties
- SG = P4/mmm (123)
- theoretical density (g/cm3) = 5.8

***

Entry two
AgPdSeN2: relaxed, PBE-GGA.

abc: 3.838 3.838 5.922
angles: 90.00 90.00 90.00
Fractional coordinates of all 5 atoms:
Ag (0.000, 0.000, 0.000)
Pd (0.500, 0.500, 0.500)
Se (0.500, 0.500, 0.000)
N (0.000, 0.500, 0.500)
N (0.500, 0.000, 0.500)

## Properties
- SG = P4/mmm (123)
- theoretical density (g/cm3) = 6.1

***

entry two takes first place; second place is 426 meV/atom up.

***

Entry one
AgTe2PdN: relaxed, PBE-GGA.

abc: 5.625 5.625 3.665
angles: 90.00 90.00 90.00
Fractional coordinates of all 5 atoms:
Ag (0.000, 0.000, 0.000)
Te (0.000, 0.500, 0.500)
Te (0.500, 0.000, 0.500)
Pd (0.500, 0.500, 0.500)
N (0.500, 0.500, 0.000)

## Properties
- SG = P4/mmm (123)
- theoretical density (g/cm3) = 6.9

***

Entry two
AgTe2PdN: relaxed, PBE-GGA.

abc: 5.522 5.522 3.851
angles: 90.00 90.00 90.00
Fractional coordinates of all 5 atoms:
Ag (0.000, 0.000, 0.000)
Te (0.000, 0.500, 0.000)
Te (0.500, 0.000, 0.000)
Pd (0.500, 0.500, 0.500)
N (0.000, 0.000, 0.500)

## Properties
- SG = P4/mmm (123)
- theoretical density (g/cm3) = 6.8

***

entry one takes first place; second place is 495 meV/atom up.

***

Entry one
Pm2AgN: relaxed, PBE-GGA.

abc: 6.740 6.740 6.740
angles: 135.64 82.50 114.56
Fractional coordinates of all 8 atoms:
Pm (0.108, 0.250, 0.358)
Pm (0.473, 0.907, 0.067)
Pm (0.840, 0.407, 0.933)
Pm (0.892, 0.750, 0.642)
Ag (0.352, 0.181, 0.671)
Ag (0.511, 0.681, 0.329)
N (0.091, 0.720, 0.871)
N (0.849, 0.220, 0.129)

## Properties
- SG = Ima2 (46)
- theoretical density (g/cm3) = 7.3

***

Entry two
Pm2AgN: relaxed, PBE-GGA.

abc: 7.961 7.961 7.961
angles: 26.42 26.42 26.42
Fractional coordinates of all 4 atoms:
Pm (0.227, 0.227, 0.227)
Pm (0.773, 0.773, 0.773)
Ag (0.000, 0.000, 0.000)
N (0.500, 0.500, 0.500)

## Properties
- SG = R-3m (166)
- theoretical density (g/cm3) = 7.8

***

entry two takes first place; second place is 15 meV/atom up.

***

Entry one
Pm4Ag2N: relaxed, PBE-GGA.

abc: 7.095 7.169 8.049
angles: 90.00 106.41 90.00
Fractional coordinates of all 14 atoms:
Pm (0.013, 0.007, 0.254)
Pm (0.013, 0.493, 0.254)
Pm (0.409, 0.250, 0.589)
Pm (0.419, 0.250, 0.119)
Pm (0.581, 0.750, 0.881)
Pm (0.591, 0.750, 0.411)
Pm (0.987, 0.507, 0.746)
Pm (0.987, 0.993, 0.746)
Ag (0.229, 0.750, 0.557)
Ag (0.242, 0.750, 0.060)
Ag (0.758, 0.250, 0.940)
Ag (0.771, 0.250, 0.443)
N (0.236, 0.250, 0.306)
N (0.764, 0.750, 0.694)

## Properties
- SG = P2_1/m (11)
- theoretical density (g/cm3) = 6.8

***

Entry two
Pm4Ag2N: relaxed, PBE-GGA.

abc: 8.212 8.212 8.212
angles: 144.82 144.82 50.60
Fractional coordinates of all 7 atoms:
Pm (0.000, 0.500, 0.500)
Pm (0.171, 0.171, 0.000)
Pm (0.500, 0.000, 0.500)
Pm (0.829, 0.829, 0.000)
Ag (0.371, 0.371, 0.000)
Ag (0.629, 0.629, 0.000)
N (0.000, 0.000, 0.000)

## Properties
- SG = I4/mmm (139)
- theoretical density (g/cm3) = 7.4

***

entry two takes first place; second place is 31 meV/atom up.

***

Entry one
Pr4Ag2N: relaxed, PBE-GGA.

abc: 7.133 3.609 7.721
angles: 90.00 106.91 90.00
Fractional coordinates of all 7 atoms:
Pr (0.070, 0.000, 0.304)
Pr (0.375, 0.500, 0.691)
Pr (0.625, 0.500, 0.309)
Pr (0.930, 0.000, 0.696)
Ag (0.309, 0.000, 0.019)
Ag (0.691, 0.000, 0.981)
N (0.000, 0.500, 0.500)

## Properties
- SG = P2/m (10)
- theoretical density (g/cm3) = 6.9

***

Entry two
Pr4Ag2N: relaxed, PBE-GGA.

abc: 8.316 8.316 8.316
angles: 144.53 144.53 51.04
Fractional coordinates of all 7 atoms:
Pr (0.000, 0.500, 0.500)
Pr (0.172, 0.172, 0.000)
Pr (0.500, 0.000, 0.500)
Pr (0.828, 0.828, 0.000)
Ag (0.372, 0.372, 0.000)
Ag (0.628, 0.628, 0.000)
N (0.000, 0.000, 0.000)

## Properties
- SG = I4/mmm (139)
- theoretical density (g/cm3) = 6.8

***

entry two takes first place; second place is 45 meV/atom up.

***

Entry one
Pr6AgN3: relaxed, PBE-GGA.

abc: 11.589 3.684 12.557
angles: 90.00 112.07 90.00
Fractional coordinates of all 20 atoms:
Pr (0.045, 0.250, 0.268)
Pr (0.136, 0.750, 0.577)
Pr (0.185, 0.750, 0.078)
Pr (0.337, 0.750, 0.382)
Pr (0.361, 0.250, 0.919)
Pr (0.455, 0.250, 0.213)
Pr (0.545, 0.750, 0.787)
Pr (0.639, 0.750, 0.081)
Pr (0.663, 0.250, 0.618)
Pr (0.815, 0.250, 0.922)
Pr (0.864, 0.250, 0.423)
Pr (0.955, 0.750, 0.732)
Ag (0.362, 0.250, 0.591)
Ag (0.638, 0.750, 0.409)
N (0.007, 0.250, 0.619)
N (0.242, 0.250, 0.227)
N (0.407, 0.750, 0.060)
N (0.593, 0.250, 0.940)
N (0.758, 0.750, 0.773)
N (0.993, 0.750, 0.381)

## Properties
- SG = P2_1/m (11)
- theoretical density (g/cm3) = 6.7

***

Entry two
Pr6AgN3: relaxed, PBE-GGA.

abc: 11.662 3.714 12.313
angles: 90.00 106.45 90.00
Fractional coordinates of all 20 atoms:
Pr (0.096, 0.250, 0.302)
Pr (0.116, 0.250, 0.588)
Pr (0.124, 0.750, 0.039)
Pr (0.365, 0.750, 0.490)
Pr (0.379, 0.750, 0.909)
Pr (0.394, 0.250, 0.206)
Pr (0.606, 0.750, 0.794)
Pr (0.621, 0.250, 0.091)
Pr (0.635, 0.250, 0.510)
Pr (0.876, 0.250, 0.961)
Pr (0.884, 0.750, 0.412)
Pr (0.904, 0.750, 0.698)
Ag (0.128, 0.250, 0.845)
Ag (0.872, 0.750, 0.155)
N (0.116, 0.750, 0.448)
N (0.418, 0.250, 0.402)
N (0.482, 0.750, 0.108)
N (0.518, 0.250, 0.892)
N (0.582, 0.750, 0.598)
N (0.884, 0.250, 0.552)

## Properties
- SG = P2_1/m (11)
- theoretical density (g/cm3) = 6.5

***

entry one takes first place; second place is 40 meV/atom up.

***

Entry one
AgPtN2: relaxed, PBE-GGA.

abc: 6.463 6.463 6.463
angles: 28.29 28.29 28.29
Fractional coordinates of all 4 atoms:
Ag (0.000, 0.000, 0.000)
Pt (0.500, 0.500, 0.500)
N (0.113, 0.113, 0.113)
N (0.887, 0.887, 0.887)

## Properties
- SG = R-3m (166)
- theoretical density (g/cm3) = 10.3

***

Entry two
AgPtN2: relaxed, PBE-GGA.

abc: 4.007 4.007 4.007
angles: 60.00 60.00 60.00
Fractional coordinates of all 4 atoms:
Ag (0.000, 0.000, 0.000)
Pt (0.500, 0.500, 0.500)
N (0.250, 0.250, 0.250)
N (0.750, 0.750, 0.750)

## Properties
- SG = Fm-3m (225)
- theoretical density (g/cm3) = 12.1

***

entry one takes first place; second place is 858 meV/atom up.

***

Entry one
AgTe2PtN: relaxed, PBE-GGA.

abc: 5.674 5.674 3.656
angles: 90.00 90.00 90.00
Fractional coordinates of all 5 atoms:
Ag (0.000, 0.000, 0.000)
Te (0.000, 0.500, 0.500)
Te (0.500, 0.000, 0.500)
Pt (0.500, 0.500, 0.500)
N (0.500, 0.500, 0.000)

## Properties
- SG = P4/mmm (123)
- theoretical density (g/cm3) = 8.1

***

Entry two
AgTe2PtN: relaxed, PBE-GGA.

abc: 5.449 5.449 3.832
angles: 90.00 90.00 90.00
Fractional coordinates of all 5 atoms:
Ag (0.000, 0.000, 0.000)
Te (0.000, 0.500, 0.000)
Te (0.500, 0.000, 0.000)
Pt (0.500, 0.500, 0.500)
N (0.000, 0.000, 0.500)

## Properties
- SG = P4/mmm (123)
- theoretical density (g/cm3) = 8.3

***

entry one takes first place; second place is 807 meV/atom up.

***

Entry one
AgTePtN2: relaxed, PBE-GGA.

abc: 3.992 3.992 6.394
angles: 90.00 90.00 90.00
Fractional coordinates of all 5 atoms:
Ag (0.000, 0.000, 0.000)
Te (0.000, 0.000, 0.500)
Pt (0.500, 0.500, 0.500)
N (0.000, 0.500, 0.000)
N (0.500, 0.000, 0.000)

## Properties
- SG = P4/mmm (123)
- theoretical density (g/cm3) = 7.5

***

Entry two
AgTePtN2: relaxed, PBE-GGA.

abc: 3.832 3.832 7.144
angles: 90.00 90.00 90.00
Fractional coordinates of all 5 atoms:
Ag (0.000, 0.000, 0.000)
Te (0.500, 0.500, 0.000)
Pt (0.500, 0.500, 0.500)
N (0.000, 0.500, 0.500)
N (0.500, 0.000, 0.500)

## Properties
- SG = P4/mmm (123)
- theoretical density (g/cm3) = 7.3

***

entry two takes first place; second place is 697 meV/atom up.

***

Entry one
Pu2AgN: relaxed, PBE-GGA.

abc: 8.427 8.427 8.427
angles: 23.05 23.05 23.05
Fractional coordinates of all 4 atoms:
Pu (0.225, 0.225, 0.225)
Pu (0.775, 0.775, 0.775)
Ag (0.000, 0.000, 0.000)
N (0.500, 0.500, 0.500)

## Properties
- SG = R-3m (166)
- theoretical density (g/cm3) = 12.6

***

Entry two
Pu2AgN: relaxed, PBE-GGA.

abc: 8.363 8.363 8.363
angles: 23.29 23.29 23.29
Fractional coordinates of all 4 atoms:
Pu (0.000, 0.000, 0.000)
Pu (0.215, 0.215, 0.215)
Ag (0.441, 0.441, 0.441)
N (0.608, 0.608, 0.608)

## Properties
- SG = R3m (160)
- theoretical density (g/cm3) = 12.6

***

entry two takes first place; second place is 10 meV/atom up.

***

Entry one
RbAgN2: relaxed, PBE-GGA.

abc: 7.383 7.383 7.383
angles: 26.86 26.86 26.86
Fractional coordinates of all 4 atoms:
Rb (0.000, 0.000, 0.000)
Ag (0.500, 0.500, 0.500)
N (0.123, 0.123, 0.123)
N (0.877, 0.877, 0.877)

## Properties
- SG = R-3m (166)
- theoretical density (g/cm3) = 5.1

***

Entry two
RbAgN2: relaxed, PBE-GGA.

abc: 5.879 5.879 5.879
angles: 113.38 113.38 101.92
Fractional coordinates of all 8 atoms:
Rb (0.000, 0.000, 0.000)
Rb (0.750, 0.250, 0.500)
Ag (0.250, 0.750, 0.500)
Ag (0.500, 0.500, 0.000)
N (0.245, 0.125, 0.620)
N (0.375, 0.755, 0.880)
N (0.505, 0.625, 0.380)
N (0.875, 0.495, 0.120)

## Properties
- SG = I-42d (122)
- theoretical density (g/cm3) = 4.8

***

entry two takes first place; second place is 107 meV/atom up.